1.
# ErLuMgCd GGA-PBE optimized geometry
data_ErLuMgCd
_chemical_formula_sum 'Er4 Lu4 Mg4 Cd4'
_symmetry_space_group_name_H-M 'F -4 3 m'
_symmetry_Int_Tables_number 216
_symmetry_space_group_name_Hall 'F -4 2 3'
_cell_length_a 7.4248
_cell_length_b 7.4248
_cell_length_c 7.4248
_cell_angle_alpha 90.00
_cell_angle_beta 90.00
_cell_angle_gamma 90.00
loop_
_atom_site_label
_atom_site_type_symbol
_atom_site_fract_x
_atom_site_fract_y
_atom_site_fract_z
Er1 Er 0.0000 0.0000 0.0000
Lu1 Lu 0.0000 0.0000 0.5000
Mg1 Mg 0.2500 0.2500 0.7500
Cd1 Cd 0.2500 0.2500 0.2500
# * DOS at the Fermi energy: 0.9245 states/eV per atom
# * formation energy from the elements: -0.182 eV per atom
# * calculated density: 7.77 g/cm³
# * V: 409.3 Å³ per cell

2.
# AcAl3CuNi GGA-PBE optimized geometry
data_AcAl3CuNi
_chemical_formula_sum 'Ac4 Al12 Cu4 Ni4'
_symmetry_space_group_name_H-M 'C m c m'
_symmetry_Int_Tables_number 63
_symmetry_space_group_name_Hall '-C 2c 2'
_cell_length_a 6.2946
_cell_length_b 12.2390
_cell_length_c 6.0676
_cell_angle_alpha 90.00
_cell_angle_beta 90.00
_cell_angle_gamma 90.00
loop_
_atom_site_label
_atom_site_type_symbol
_atom_site_fract_x
_atom_site_fract_y
_atom_site_fract_z
Ac1 Ac 0.0000 0.2351 0.2500
Al1 Al 0.0000 0.3529 0.7500
Al2 Al 0.2129 0.0000 0.0000
Cu1 Cu 0.0000 0.1373 0.7500
Ni1 Ni 0.0000 0.4579 0.2500
# * DOS at the Fermi energy: 0.5010 states/eV per atom
# * formation energy from the elements: -0.264 eV per atom
# * calculated density: 6.11 g/cm³
# * V: 467.4 Å³ per cell